# 1
{
  "formula": "Co2TeRh2",
  "functional": "PBE-GGA",
  "state": "optimized geometry",
  "lattice_angstrom": [[6.304, 0.000, 0.000], [0.000, 6.304, 0.000], [0.000, 0.000, 3.731]],
  "species": ["Co", "Co", "Co", "Co", "Te", "Te", "Rh", "Rh", "Rh", "Rh"],
  "fractional_positions": [[0.130, 0.370, 0.000], [0.370, 0.870, 0.000], [0.630, 0.130, 0.000], [0.870, 0.630, 0.000], [0.000, 0.000, 0.000], [0.500, 0.500, 0.000], [0.153, 0.653, 0.500], [0.347, 0.153, 0.500], [0.653, 0.847, 0.500], [0.847, 0.347, 0.500]],
  "e_form_raw_mev_per_atom": 221
}

=====

# 2
{
  "formula": "SrFeHI2",
  "functional": "PBE-GGA",
  "state": "optimized geometry",
  "lattice_angstrom": [[5.794, 0.000, 0.000], [0.000, 5.794, 0.000], [0.000, 0.000, 3.761]],
  "species": ["Sr", "Fe", "H", "I", "I"],
  "fractional_positions": [[0.000, 0.000, 0.000], [0.500, 0.500, 0.000], [0.500, 0.500, 0.500], [0.000, 0.500, 0.500], [0.500, 0.000, 0.500]],
  "final_energy_ev_per_cell": -17.2
}

=====

# 3
{
  "formula": "RbGaAs",
  "functional": "PBE-GGA",
  "state": "optimized geometry",
  "lattice_angstrom": [[5.705, 0.000, 0.000], [0.000, 4.640, 0.000], [-0.197, 0.000, 7.076]],
  "species": ["Rb", "Rb", "Ga", "Ga", "As", "As"],
  "fractional_positions": [[0.000, 0.250, 0.233], [0.000, 0.750, 0.767], [0.479, 0.750, 0.428], [0.521, 0.250, 0.572], [0.465, 0.250, 0.925], [0.535, 0.750, 0.075]],
  "formation_enthalpy_0k_kcal_per_mol_atoms": -5.17,
  "polymorph_energy_mev_per_atom": 176
}

=====

# 4
{
  "formula": "LiIN2F",
  "functional": "PBE-GGA",
  "state": "optimized geometry",
  "lattice_angstrom": [[4.040, 0.000, 0.000], [0.000, 4.040, 0.000], [0.000, 0.000, 4.732]],
  "species": ["Li", "I", "N", "N", "F"],
  "fractional_positions": [[0.000, 0.000, 0.000], [0.500, 0.500, 0.500], [0.000, 0.500, 0.500], [0.500, 0.000, 0.500], [0.500, 0.500, 0.000]],
  "polymorph_energy_mev_per_atom": 0,
  "e_form_raw_mev_per_atom": 733
}

=====

# 5
{
  "formula": "Dy3CoGe3",
  "functional": "PBE-GGA",
  "state": "optimized geometry",
  "lattice_angstrom": [[5.329, -2.107, 0.000], [5.329, 2.107, 0.000], [-4.866, 0.000, 12.886]],
  "species": ["Dy", "Dy", "Dy", "Dy", "Dy", "Dy", "Co", "Co", "Ge", "Ge", "Ge", "Ge", "Ge", "Ge"],
  "fractional_positions": [[0.027, 0.027, 0.382], [0.097, 0.097, 0.919], [0.245, 0.245, 0.230], [0.755, 0.755, 0.770], [0.903, 0.903, 0.081], [0.973, 0.973, 0.618], [0.255, 0.255, 0.584], [0.745, 0.745, 0.416], [0.358, 0.358, 0.453], [0.374, 0.374, 0.924], [0.453, 0.453, 0.756], [0.547, 0.547, 0.244], [0.626, 0.626, 0.076], [0.642, 0.642, 0.547]],
  "formation_enthalpy_0k_kcal_per_mol_atoms": -18.20
}

=====

# 6
{
  "formula": "Na3Ga3PtO8",
  "functional": "PBE-GGA",
  "state": "optimized geometry",
  "lattice_angstrom": [[3.045, 1.758, 5.450], [-3.045, 1.758, 5.450], [0.000, -3.516, 5.450]],
  "species": ["Na", "Na", "Na", "Ga", "Ga", "Ga", "Pt", "O", "O", "O", "O", "O", "O", "O", "O"],
  "fractional_positions": [[0.000, 0.500, 0.500], [0.500, 0.000, 0.500], [0.500, 0.500, 0.000], [0.000, 0.000, 0.500], [0.000, 0.500, 0.000], [0.500, 0.000, 0.000], [0.500, 0.500, 0.500], [0.229, 0.731, 0.731], [0.233, 0.233, 0.233], [0.269, 0.269, 0.771], [0.269, 0.771, 0.269], [0.731, 0.229, 0.731], [0.731, 0.731, 0.229], [0.767, 0.767, 0.767], [0.771, 0.269, 0.269]],
  "e_form_raw_mev_per_atom": -1599
}

=====

- What is the formula in the second record?
  SrFeHI2

=====

Please write out number 5 again, unchanged.
{
  "formula": "Dy3CoGe3",
  "functional": "PBE-GGA",
  "state": "optimized geometry",
  "lattice_angstrom": [[5.329, -2.107, 0.000], [5.329, 2.107, 0.000], [-4.866, 0.000, 12.886]],
  "species": ["Dy", "Dy", "Dy", "Dy", "Dy", "Dy", "Co", "Co", "Ge", "Ge", "Ge", "Ge", "Ge", "Ge"],
  "fractional_positions": [[0.027, 0.027, 0.382], [0.097, 0.097, 0.919], [0.245, 0.245, 0.230], [0.755, 0.755, 0.770], [0.903, 0.903, 0.081], [0.973, 0.973, 0.618], [0.255, 0.255, 0.584], [0.745, 0.745, 0.416], [0.358, 0.358, 0.453], [0.374, 0.374, 0.924], [0.453, 0.453, 0.756], [0.547, 0.547, 0.244], [0.626, 0.626, 0.076], [0.642, 0.642, 0.547]],
  "formation_enthalpy_0k_kcal_per_mol_atoms": -18.20
}